VASP calculation (GGA-PBE) on a relaxed structure of K4CeDy3O8.

Properties
Its raw formation energy is -2714 meV per atom. Its electronic total energy is -6.7015 eV/atom.

a = 7.057 Å, b = 7.478 Å, c = 7.057 Å
α = 118.16°, β = 120.00°, γ = 90.00°
Each line ends with the local moment (μB).
Element x y z (fractional)
Dy 0.500 0.500 0.500  0.01
Dy 0.500 0.500 0.000  0.01
Dy 0.000 0.500 0.500  0.01
K 0.000 0.000 0.000  0.00
K 0.500 0.000 0.000  0.00
K 0.500 0.000 0.500  0.00
K 0.000 0.000 0.500  0.00
O 0.728 0.685 0.457  0.00
O 0.767 0.314 0.535  -0.01
O 0.233 0.686 0.465  -0.01
O 0.721 0.686 0.954  -0.01
O 0.233 0.686 0.954  -0.01
O 0.272 0.315 0.543  0.00
O 0.767 0.314 0.046  -0.01
O 0.279 0.314 0.046  -0.01
Ce 0.000 0.500 0.000  0.86



VASP calculation (GGA-PBE) on a relaxed structure of LaY2TlP.

Properties
As for the formation energy: -691 meV per atom. Its electronic total energy is -5.8172 eV/atom.

a = 5.295 Å, b = 5.295 Å, c = 5.563 Å
α = 90.00°, β = 90.00°, γ = 90.00°
Element x y z (fractional)
La 0.000 0.000 0.500
Tl 0.500 0.500 0.500
Y 0.500 0.000 0.000
Y 0.000 0.500 0.000
P 0.000 0.000 0.000